First-principles (PBEsol) data for a geometry-optimized CdIn2Re structure, as listed in Alexandria.

Unit cell a=3.0503 b=4.1476 c=5.9606 alpha=90.00 beta=90.00 gamma=90.00
Last column: nearest neighbours and their distance in Å.
Atoms (fractional coordinates):
Cd (0.0000, 0.0000, 0.0000)  2 Re 2.98, 8 In 3.02, 2 Cd 3.05
In (0.5000, 0.5000, 0.2645)  3 In 2.81-3.05, 4 Re 2.93, 4 Cd 3.02
In (0.5000, 0.5000, 0.7355)  3 In 2.81-3.05, 4 Re 2.93, 4 Cd 3.02
Re (0.0000, 0.0000, 0.5000)  8 In 2.93, 2 Cd 2.98, 2 Re 3.05

Calculated values
Raw total energy ... -4.632 eV per atom
Total magnetic moment ... 0.00 μB/f.u.